Entry 1:
Density functional theory data (PBE) for crystalline Cs12Pd5Br3 at its relaxed geometry.

Properties
Raw total energy ... -2.44 eV per atom

a b c (Å): 18.0646 18.0646 18.0646
angles (deg): 109.47 109.47 109.47
Closest atoms and distances in Å follow each position.
Sites, in units of the cell vectors:
Cs: 0.0344 0.2115 0.1262  2 Pd 3.18-3.44
Cs: 0.0344 0.3230 0.9083  2 Pd 3.18-3.44
Cs: 0.0853 0.7115 0.6770  2 Pd 3.18-3.44
Cs: 0.0853 0.8738 0.4083  2 Pd 3.18-3.44
Cs: 0.0917 0.6262 0.4147  2 Pd 3.18-3.44
Cs: 0.0917 0.9656 0.6770  2 Pd 3.18-3.44
Cs: 0.1262 0.0344 0.2115  2 Pd 3.18-3.44
Cs: 0.1262 0.5917 0.9147  2 Pd 3.18-3.44
Cs: 0.1770 0.2115 0.5853  2 Pd 3.18-3.44
Cs: 0.1770 0.4656 0.5917  2 Pd 3.18-3.44
Cs: 0.2115 0.1262 0.0344  2 Pd 3.18-3.44
Cs: 0.2115 0.5853 0.1770  2 Pd 3.18-3.44
Cs: 0.2885 0.3230 0.9147  2 Pd 3.18-3.44
Cs: 0.2885 0.4656 0.3738  2 Pd 3.18-3.44
Cs: 0.3230 0.9083 0.0344  2 Pd 3.18-3.44
Cs: 0.3230 0.9147 0.2885  2 Pd 3.18-3.44
Cs: 0.3738 0.2885 0.4656  2 Pd 3.18-3.44
Cs: 0.3738 0.5853 0.9083  2 Pd 3.18-3.44
Cs: 0.4083 0.0853 0.8738  2 Pd 3.18-3.44
Cs: 0.4083 0.8230 0.5344  2 Pd 3.18-3.44
Cs: 0.4147 0.0917 0.6262  2 Pd 3.18-3.44
Cs: 0.4147 0.8230 0.7885  2 Pd 3.18-3.44
Cs: 0.4656 0.3738 0.2885  2 Pd 3.18-3.44
Cs: 0.4656 0.5917 0.1770  2 Pd 3.18-3.44
Cs: 0.5344 0.4083 0.8230  2 Pd 3.18-3.44
Cs: 0.5344 0.6262 0.7115  2 Pd 3.18-3.44
Cs: 0.5853 0.1770 0.2115  2 Pd 3.18-3.44
Cs: 0.5853 0.9083 0.3738  2 Pd 3.18-3.44
Cs: 0.5917 0.1770 0.4656  2 Pd 3.18-3.44
Cs: 0.5917 0.9147 0.1262  2 Pd 3.18-3.44
Cs: 0.6262 0.4147 0.0917  2 Pd 3.18-3.44
Cs: 0.6262 0.7115 0.5344  2 Pd 3.18-3.44
Cs: 0.6770 0.0853 0.7115  2 Pd 3.18-3.44
Cs: 0.6770 0.0917 0.9656  2 Pd 3.18-3.44
Cs: 0.7115 0.5344 0.6262  2 Pd 3.18-3.44
Cs: 0.7115 0.6770 0.0853  2 Pd 3.18-3.44
Cs: 0.7885 0.4147 0.8230  2 Pd 3.18-3.44
Cs: 0.7885 0.8738 0.9656  2 Pd 3.18-3.44
Cs: 0.8230 0.5344 0.4083  2 Pd 3.18-3.44
Cs: 0.8230 0.7885 0.4147  2 Pd 3.18-3.44
Cs: 0.8738 0.4083 0.0853  2 Pd 3.18-3.44
Cs: 0.8738 0.9656 0.7885  2 Pd 3.18-3.44
Cs: 0.9083 0.0344 0.3230  2 Pd 3.18-3.44
Cs: 0.9083 0.3738 0.5853  2 Pd 3.18-3.44
Cs: 0.9147 0.1262 0.5917  2 Pd 3.18-3.44
Cs: 0.9147 0.2885 0.3230  2 Pd 3.18-3.44
Cs: 0.9656 0.6770 0.0917  2 Pd 3.18-3.44
Cs: 0.9656 0.7885 0.8738  2 Pd 3.18-3.44
Pd: 0.0000 0.0000 0.0000  6 Cs 3.44
Pd: 0.0000 0.0000 0.5000  6 Cs 3.44
Pd: 0.0000 0.5000 0.0000  6 Cs 3.44
Pd: 0.0000 0.5000 0.5000  6 Cs 3.44
Pd: 0.1250 0.7500 0.8750  4 Cs 3.18
Pd: 0.1250 0.8750 0.2500  4 Cs 3.18
Pd: 0.2500 0.1250 0.8750  4 Cs 3.18
Pd: 0.2500 0.6250 0.3750  4 Cs 3.18
Pd: 0.3750 0.2500 0.6250  4 Cs 3.18
Pd: 0.3750 0.6250 0.7500  4 Cs 3.18
Pd: 0.5000 0.0000 0.0000  6 Cs 3.44
Pd: 0.5000 0.0000 0.5000  6 Cs 3.44
Pd: 0.5000 0.5000 0.0000  6 Cs 3.44
Pd: 0.5000 0.5000 0.5000  6 Cs 3.44
Pd: 0.6250 0.3750 0.2500  4 Cs 3.18
Pd: 0.6250 0.7500 0.3750  4 Cs 3.18
Pd: 0.7500 0.3750 0.6250  4 Cs 3.18
Pd: 0.7500 0.8750 0.1250  4 Cs 3.18
Pd: 0.8750 0.1250 0.7500  4 Cs 3.18
Pd: 0.8750 0.2500 0.1250  4 Cs 3.18
Br: 0.1250 0.2500 0.3750  8 Cs 3.95-4.04
Br: 0.1250 0.3750 0.7500  8 Cs 3.95-4.04
Br: 0.2500 0.3750 0.1250  8 Cs 3.95-4.04
Br: 0.2500 0.8750 0.6250  8 Cs 3.95-4.04
Br: 0.3750 0.1250 0.2500  8 Cs 3.95-4.04
Br: 0.3750 0.7500 0.1250  8 Cs 3.95-4.04
Br: 0.6250 0.2500 0.8750  8 Cs 3.95-4.04
Br: 0.6250 0.8750 0.7500  8 Cs 3.95-4.04
Br: 0.7500 0.1250 0.3750  8 Cs 3.95-4.04
Br: 0.7500 0.6250 0.8750  8 Cs 3.95-4.04
Br: 0.8750 0.6250 0.2500  8 Cs 3.95-4.04
Br: 0.8750 0.7500 0.6250  8 Cs 3.95-4.04

Entry 2:
Density functional theory data (PBE) for crystalline Cs4Pd3Br12 at its relaxed geometry.

Properties
Raw total energy ... -2.90 eV per atom

a b c (Å): 10.7774 10.7774 10.7774
angles (deg): 109.47 109.47 109.47
Closest atoms and distances in Å follow each position.
Sites, in units of the cell vectors:
Cs: 0.0000 0.0000 0.5000  6 Br 3.67
Cs: 0.0000 0.5000 0.0000  6 Br 3.67
Cs: 0.5000 0.0000 0.0000  6 Br 3.67
Cs: 0.5000 0.5000 0.5000  6 Br 3.67
Pd: 0.0000 0.5000 0.5000  4 Br 2.45
Pd: 0.5000 0.0000 0.5000  4 Br 2.45
Pd: 0.5000 0.5000 0.0000  4 Br 2.45
Br: 0.1390 0.4995 0.3605  1 Pd 2.45
Br: 0.1390 0.7785 0.6395  1 Pd 2.45
Br: 0.2215 0.3605 0.8610  1 Pd 2.45
Br: 0.3605 0.1390 0.4995  1 Pd 2.45
Br: 0.3605 0.8610 0.2215  1 Pd 2.45
Br: 0.4995 0.3605 0.1390  1 Pd 2.45
Br: 0.5005 0.6395 0.8610  1 Pd 2.45
Br: 0.6395 0.1390 0.7785  1 Pd 2.45
Br: 0.6395 0.8610 0.5005  1 Pd 2.45
Br: 0.7785 0.6395 0.1390  1 Pd 2.45
Br: 0.8610 0.2215 0.3605  1 Pd 2.45
Br: 0.8610 0.5005 0.6395  1 Pd 2.45

Entry 3:
Density functional theory data (PBE) for crystalline CsPdBr at its relaxed geometry.

Properties
ΔE to the lowest computed polymorph ... 0.316 eV per atom

a b c (Å): 3.4730 4.1398 14.9561
angles (deg): 96.50 91.34 90.03
Closest atoms and distances in Å follow each position.
Sites, in units of the cell vectors:
Cs: 0.0000 0.0000 0.0000  4 Br 3.42, 2 Cs 3.47, 1 Pd 3.56
Cs: 0.4823 0.6886 0.4460  4 Br 3.42, 2 Cs 3.47, 1 Pd 3.57
Pd: 0.0301 0.1016 0.2399  4 Pd 2.74-2.75
Pd: 0.5284 0.5879 0.2060  4 Pd 2.74-2.75
Br: 0.4858 0.4424 0.8591  4 Cs 3.42, 2 Br 3.47
Br: 0.9960 0.2461 0.5869  4 Cs 3.42, 2 Br 3.47

Entry 4:
Density functional theory data (PBE) for crystalline CsPd3Br at its relaxed geometry.

Properties
ΔE to the lowest computed polymorph ... 0.888 eV per atom

a b c (Å): 5.3122 5.3122 5.3122
angles (deg): 90.00 90.00 90.00
Closest atoms and distances in Å follow each position.
Sites, in units of the cell vectors:
Cs: 0.0000 0.0000 0.0000  6 Pd 2.66
Pd: 0.0000 0.0000 0.5000  2 Cs 2.66
Pd: 0.0000 0.5000 0.0000  2 Cs 2.66
Pd: 0.5000 0.0000 0.0000  2 Cs 2.66
Br: 0.5000 0.5000 0.5000  12 Pd 3.76

Entry 5:
Density functional theory data (PBE) for crystalline Cs2PdBr4 at its relaxed geometry.

Properties
Raw total energy ... -3.12 eV per atom

a b c (Å): 9.5868 9.5868 9.5868
angles (deg): 147.11 147.11 47.21
Closest atoms and distances in Å follow each position.
Sites, in units of the cell vectors:
Cs: 0.1399 0.1399 0.0000  9 Br 3.66-3.84
Cs: 0.8601 0.8601 0.0000  9 Br 3.66-3.84
Pd: 0.5000 0.5000 0.0000  6 Br 2.58-2.71
Br: 0.0000 0.5000 0.5000  2 Pd 2.71
Br: 0.3533 0.3533 0.0000  1 Pd 2.58
Br: 0.5000 0.0000 0.5000  2 Pd 2.71
Br: 0.6467 0.6467 0.0000  1 Pd 2.58

Entry 6:
Density functional theory data (PBE) for crystalline Cs3PdBr6 at its relaxed geometry.

Properties
Raw total energy ... -2.91 eV per atom

a b c (Å): 8.5072 8.5072 8.5072
angles (deg): 121.60 121.60 87.25
Closest atoms and distances in Å follow each position.
Sites, in units of the cell vectors:
Cs: 0.0000 0.0000 0.0000  6 Br 3.36-3.40
Cs: 0.2500 0.7500 0.5000  12 Br 4.16-4.28
Cs: 0.7500 0.2500 0.5000  12 Br 4.16-4.28
Pd: 0.5000 0.5000 0.0000  6 Br 2.51-2.76
Br: 0.2758 0.2758 0.0000  1 Pd 2.76
Br: 0.2866 0.2866 0.5731  1 Pd 2.51
Br: 0.2866 0.7134 0.0000  1 Pd 2.51
Br: 0.7134 0.2866 0.0000  1 Pd 2.51
Br: 0.7134 0.7134 0.4269  1 Pd 2.51
Br: 0.7242 0.7242 0.0000  1 Pd 2.76

Entry 7:
Density functional theory data (PBE) for crystalline Cs5PdBr8 at its relaxed geometry.

Properties
Raw total energy ... -2.91 eV per atom

a b c (Å): 9.4879 9.4879 9.4879
angles (deg): 112.64 112.64 103.30
Closest atoms and distances in Å follow each position.
Sites, in units of the cell vectors:
Cs: 0.0000 0.0000 0.0000  4 Br 3.60
Cs: 0.2647 0.6836 0.1478  5 Br 3.56-3.93
Cs: 0.3164 0.4642 0.5811  5 Br 3.56-3.93
Cs: 0.5358 0.1169 0.8522  5 Br 3.56-3.93
Cs: 0.8831 0.7353 0.4189  5 Br 3.56-3.93
Pd: 0.7500 0.2500 0.5000  4 Br 2.46
Br: 0.2060 0.0192 0.4186  5 Cs 3.56-3.66
Br: 0.2126 0.7940 0.8131  5 Cs 3.56-3.66
Br: 0.5299 0.2915 0.2979  1 Pd 2.46
Br: 0.6006 0.7874 0.5814  5 Cs 3.56-3.66
Br: 0.7085 0.0064 0.2384  1 Pd 2.46
Br: 0.7680 0.4701 0.7616  1 Pd 2.46
Br: 0.9808 0.3994 0.1869  5 Cs 3.56-3.66
Br: 0.9936 0.2320 0.7021  1 Pd 2.46

Entry 8:
Density functional theory data (PBE) for crystalline Cs2PdBr7 at its relaxed geometry.

Properties
Raw total energy ... -2.71 eV per atom

a b c (Å): 8.1047 8.1047 8.1047
angles (deg): 122.97 122.97 84.93
Closest atoms and distances in Å follow each position.
Sites, in units of the cell vectors:
Cs: 0.2500 0.7500 0.5000  12 Br 3.90-4.06
Cs: 0.7500 0.2500 0.5000  12 Br 3.90-4.06
Pd: 0.0000 0.0000 0.0000  6 Br 2.50-2.58
Br: 0.2089 0.2089 0.0000  1 Pd 2.50
Br: 0.2355 0.2355 0.4711  1 Pd 2.58
Br: 0.2355 0.7645 0.0000  1 Pd 2.58
Br: 0.5000 0.5000 0.0000  4 Br 2.89
Br: 0.7645 0.2355 0.0000  1 Pd 2.58
Br: 0.7645 0.7645 0.5289  1 Pd 2.58
Br: 0.7911 0.7911 0.0000  1 Pd 2.50

Quick rundown of DOS(E_F), same order as above: 45.921 41.241 5.420 2.721 0.471 0.056 20.708 3.353 states/eV/cell